Below is SmH3Pt after structural relaxation, with properties calculated at the PBE level.

Output
density = 9.391 g cm⁻³
total energy = -0.1713 hartree per atom

The structure in extended XYZ format:
```
10
Lattice="4.295 0.000 0.000 0.000 4.909 0.000 -0.997 0.000 5.844" Properties=species:S:1:pos:R:3 pbc="T T T"
Sm 0.726 1.227 1.575
Sm 2.572 3.682 4.270
H 0.386 2.853 4.735
H 0.386 4.511 4.735
H 1.211 3.682 2.156
H 2.087 1.227 3.688
H 2.912 0.398 1.110
H 2.912 2.056 1.110
Pt 0.504 1.227 4.475
Pt 2.794 3.682 1.369
```